# 1
Here is a crystal of LiAuO3 relaxed with PBEsol from Alexandria via LeMat-Bulk. Energies are from meta-GGA SCAN.

Computed properties:
Crystal system: cubic
Fermi-level density of states (states/eV/atom): 0.31
E_tot (eV/atom): -17.817
Size of the total moment (μB/cell): 4.00

Lattice parameters (Å, degrees): 3.666 3.666 3.666 90.00 90.00 90.00
Atoms (fractional coordinates):
Au: 0.500 0.500 0.500
O: 0.000 0.500 0.000
O: 0.000 0.000 0.500
O: 0.500 0.000 0.000
Li: 0.000 0.000 0.000

---

# 2
Here is a crystal of CdAuSe3 relaxed with PBEsol from Alexandria via LeMat-Bulk. Energies are from meta-GGA SCAN.

Computed properties:
Crystal system: cubic
Fermi-level density of states (states/eV/atom): 0.62
E_tot (eV/atom): -31.525
Size of the total moment (μB/cell): 0.00

Lattice parameters (Å, degrees): 5.016 5.016 5.016 90.00 90.00 90.00
Atoms (fractional coordinates):
Au: 0.000 0.000 0.000
Se: 0.000 0.500 0.000
Se: 0.000 0.000 0.500
Se: 0.500 0.000 0.000
Cd: 0.500 0.500 0.500

---

# 3
Here is a crystal of DyWC2 relaxed with PBEsol from Alexandria via LeMat-Bulk. Energies are from meta-GGA SCAN.

Computed properties:
Crystal system: orthorhombic
Fermi-level density of states (states/eV/atom): 0.26
ΔE_f (eV per atom): -0.3413
E_tot (eV/atom): -34.762
Size of the total moment (μB/cell): 0.00

Lattice parameters (Å, degrees): 3.347 5.670 10.701 90.00 90.00 90.00
Atoms (fractional coordinates):
Dy: 0.750 0.915 0.137
Dy: 0.750 0.415 0.363
Dy: 0.250 0.085 0.863
Dy: 0.250 0.585 0.637
W: 0.750 0.595 0.890
W: 0.750 0.095 0.610
W: 0.250 0.405 0.110
W: 0.250 0.905 0.390
C: 0.750 0.839 0.752
C: 0.750 0.339 0.748
C: 0.250 0.161 0.248
C: 0.250 0.661 0.252
C: 0.750 0.275 0.015
C: 0.750 0.775 0.485
C: 0.250 0.725 0.985
C: 0.250 0.225 0.515

---

# 4
Here is a crystal of KNiAsRh2 relaxed with PBEsol from Alexandria via LeMat-Bulk. Energies are from meta-GGA SCAN.

Computed properties:
Crystal system: tetragonal
Fermi-level density of states (states/eV/atom): 0.76
ΔE_f (eV per atom): 2.5004
E_tot (eV/atom): -19.947
Size of the total moment (μB/cell): 3.39

Lattice parameters (Å, degrees): 4.486 4.486 5.163 90.00 90.00 90.00
Atoms (fractional coordinates):
Ni: 0.500 0.500 0.500
As: 0.000 0.000 0.500
Rh: 0.000 0.500 0.000
Rh: 0.500 0.000 0.000
K: 0.000 0.000 0.000

---

# 5
Here is a crystal of MgTc2P relaxed with PBEsol from Alexandria via LeMat-Bulk. Energies are from meta-GGA SCAN.

Computed properties:
Crystal system: tetragonal
Fermi-level density of states (states/eV/atom): 0.62
Energy above the most stable polymorph in this dataset (meV per atom): 0
ΔE_f (eV per atom): -0.1498
E_tot (eV/atom): -21.523
Size of the total moment (μB/cell): 0.00

Lattice parameters (Å, degrees): 2.942 2.942 6.617 90.00 90.00 90.00
Atoms (fractional coordinates):
Mg: 0.500 0.500 0.000
P: 0.500 0.500 0.500
Tc: 0.000 0.000 0.695
Tc: 0.000 0.000 0.305

---

# 6
Here is a crystal of Mg4Sc3 relaxed with PBEsol from Alexandria via LeMat-Bulk. Energies are from meta-GGA SCAN.

Computed properties:
Crystal system: tetragonal
Fermi-level density of states (states/eV/atom): 0.84
Energy above the most stable polymorph in this dataset (meV per atom): 0
ΔE_f (eV per atom): -0.0486
E_tot (eV/atom): -8.992
Size of the total moment (μB/cell): 0.52

Lattice parameters (Å, degrees): 3.191 3.191 15.855 95.78 95.78 90.00
Atoms (fractional coordinates):
Sc: 0.000 0.000 0.000
Sc: 0.286 0.286 0.572
Sc: 0.714 0.714 0.428
Mg: 0.141 0.141 0.282
Mg: 0.429 0.429 0.858
Mg: 0.571 0.571 0.142
Mg: 0.859 0.859 0.718

---

# 7
Here is a crystal of LiCuPO4 relaxed with PBEsol from Alexandria via LeMat-Bulk. Energies are from meta-GGA SCAN.

Computed properties:
Crystal system: tetragonal
Fermi-level density of states (states/eV/atom): 0.00
Energy above the most stable polymorph in this dataset (meV per atom): 13
E_tot (eV/atom): -9.611
Size of the total moment (μB/cell): 1.03

Lattice parameters (Å, degrees): 4.780 4.780 4.780 94.25 117.58 117.58
Atoms (fractional coordinates):
P: 0.500 0.750 0.250
O: 0.133 0.702 0.198
O: 0.504 0.802 0.935
O: 0.496 0.431 0.298
O: 0.867 0.065 0.569
Cu: 0.000 0.000 0.000
Li: 0.000 0.500 0.500

---

# 8
Here is a crystal of ZrSiSn3 relaxed with PBEsol from Alexandria via LeMat-Bulk. Energies are from meta-GGA SCAN.

Computed properties:
Crystal system: cubic
Fermi-level density of states (states/eV/atom): 0.77
E_tot (eV/atom): -28.826
Size of the total moment (μB/cell): 0.00

Lattice parameters (Å, degrees): 5.432 5.432 5.432 90.00 90.00 90.00
Atoms (fractional coordinates):
Si: 0.500 0.500 0.500
Sn: 0.000 0.500 0.000
Sn: 0.000 0.000 0.500
Sn: 0.500 0.000 0.000
Zr: 0.000 0.000 0.000

---

# 9
Here is a crystal of In2SeCl relaxed with PBEsol from Alexandria via LeMat-Bulk. Energies are from meta-GGA SCAN.

Computed properties:
Crystal system: trigonal
Fermi-level density of states (states/eV/atom): 0.20
Energy above the most stable polymorph in this dataset (meV per atom): 0
E_tot (eV/atom): -24.342
Size of the total moment (μB/cell): 0.00

Lattice parameters (Å, degrees): 3.935 3.935 8.395 76.45 76.45 60.00
Atoms (fractional coordinates):
Cl: 0.267 0.267 0.200
Se: 0.478 0.478 0.565
In: 0.999 0.999 0.003
In: 0.756 0.756 0.732

---

# 10
Here is a crystal of Ta2MnPt relaxed with PBEsol from Alexandria via LeMat-Bulk. Energies are from meta-GGA SCAN.

Computed properties:
Crystal system: cubic
Fermi-level density of states (states/eV/atom): 0.93
ΔE_f (eV per atom): -0.3697
E_tot (eV/atom): -55.773
Size of the total moment (μB/cell): 2.24

Lattice parameters (Å, degrees): 4.428 4.428 4.428 60.00 60.00 60.00
Atoms (fractional coordinates):
Mn: 0.500 0.500 0.500
Pt: 0.250 0.250 0.250
Ta: 0.000 0.000 0.000
Ta: 0.750 0.750 0.750

---

# 11
Here is a crystal of ZnTe relaxed with PBEsol from Alexandria via LeMat-Bulk. Energies are from meta-GGA SCAN.

Computed properties:
Crystal system: trigonal
E_tot (eV/atom): -25.765
Size of the total moment (μB/cell): 0.00

Lattice parameters (Å, degrees): 4.240 4.240 7.090 90.00 90.00 120.00
Atoms (fractional coordinates):
Zn: 0.333 0.667 0.625
Zn: 0.667 0.333 0.375
Te: 0.333 0.667 0.235
Te: 0.667 0.333 0.765

---

# 12
Here is a crystal of Ti2RhF relaxed with PBEsol from Alexandria via LeMat-Bulk. Energies are from meta-GGA SCAN.

Computed properties:
Crystal system: cubic
Fermi-level density of states (states/eV/atom): 0.97
E_tot (eV/atom): -18.182
Size of the total moment (μB/cell): 1.83

Lattice parameters (Å, degrees): 4.270 4.270 4.270 60.00 60.00 60.00
Atoms (fractional coordinates):
F: 0.000 0.000 0.000
Rh: 0.500 0.500 0.500
Ti: 0.250 0.250 0.250
Ti: 0.750 0.750 0.750

---

# 13
Here is a crystal of CaYIn2 relaxed with PBEsol from Alexandria via LeMat-Bulk. Energies are from meta-GGA SCAN.

Computed properties:
Crystal system: orthorhombic
Fermi-level density of states (states/eV/atom): 0.33
ΔE_f (eV per atom): -0.6261
E_tot (eV/atom): -26.696
Size of the total moment (μB/cell): 0.01

Lattice parameters (Å, degrees): 3.435 4.397 6.882 90.00 90.00 90.00
Atoms (fractional coordinates):
Y: 0.500 0.500 0.000
Ca: 0.500 0.500 0.500
In: 0.000 0.000 0.763
In: 0.000 0.000 0.237

---

# 14
Here is a crystal of FeSnP2S relaxed with PBEsol from Alexandria via LeMat-Bulk. Energies are from meta-GGA SCAN.

Computed properties:
Crystal system: tetragonal
Fermi-level density of states (states/eV/atom): 0.61
E_tot (eV/atom): -16.489
Size of the total moment (μB/cell): 0.00

Lattice parameters (Å, degrees): 4.182 4.182 5.116 90.00 90.00 90.00
Atoms (fractional coordinates):
P: 0.000 0.500 0.000
P: 0.500 0.000 0.000
S: 0.000 0.000 0.500
Sn: 0.500 0.500 0.500
Fe: 0.000 0.000 0.000

---

# 15
Here is a crystal of BeWCl2 relaxed with PBEsol from Alexandria via LeMat-Bulk. Energies are from meta-GGA SCAN.

Computed properties:
Crystal system: tetragonal
Fermi-level density of states (states/eV/atom): 0.33
Energy above the most stable polymorph in this dataset (meV per atom): 291
E_tot (eV/atom): -22.367
Size of the total moment (μB/cell): 0.00

Lattice parameters (Å, degrees): 3.028 3.028 7.135 90.00 90.00 90.00
Atoms (fractional coordinates):
Be: 0.500 0.500 0.716
W: 0.000 0.000 0.558
Cl: 0.000 0.000 0.897
Cl: 0.500 0.500 0.329

---

# 16
Here is a crystal of MnAlCu2 relaxed with PBEsol from Alexandria via LeMat-Bulk. Energies are from meta-GGA SCAN.

Computed properties:
Crystal system: monoclinic
Fermi-level density of states (states/eV/atom): 0.54
ΔE_f (eV per atom): -0.1137
E_tot (eV/atom): -14.215
Size of the total moment (μB/cell): 3.28

Lattice parameters (Å, degrees): 2.569 4.579 4.908 116.06 102.31 95.96
Atoms (fractional coordinates):
Al: 0.000 0.500 0.000
Cu: 0.000 0.000 0.500
Cu: 0.500 0.500 0.500
Mn: 0.500 0.000 0.000

---

# 17
Here is a crystal of Te3Os relaxed with PBEsol from Alexandria via LeMat-Bulk. Energies are from meta-GGA SCAN.

Computed properties:
Crystal system: monoclinic
Fermi-level density of states (states/eV/atom): 0.49
E_tot (eV/atom): -45.735
Size of the total moment (μB/cell): 0.00

Lattice parameters (Å, degrees): 3.161 4.016 8.416 93.21 90.00 113.18
Atoms (fractional coordinates):
Os: 0.000 0.000 0.000
Te: 0.500 0.000 0.500
Te: 0.283 0.566 0.817
Te: 0.717 0.434 0.183

---

# 18
Here is a crystal of ZrInCl2 relaxed with PBEsol from Alexandria via LeMat-Bulk. Energies are from meta-GGA SCAN.

Computed properties:
Crystal system: monoclinic
Fermi-level density of states (states/eV/atom): 0.56
Energy above the most stable polymorph in this dataset (meV per atom): 167
E_tot (eV/atom): -20.748
Size of the total moment (μB/cell): 0.00

Lattice parameters (Å, degrees): 3.229 5.505 5.585 118.60 105.37 92.80
Atoms (fractional coordinates):
Cl: 0.000 0.000 0.500
Cl: 0.500 0.500 0.500
Zr: 0.500 0.500 0.000
In: 0.000 0.000 0.000

---

# 19
Here is a crystal of BaSrAu relaxed with PBEsol from Alexandria via LeMat-Bulk. Energies are from meta-GGA SCAN.

Computed properties:
Crystal system: trigonal
Fermi-level density of states (states/eV/atom): 0.96
Energy above the most stable polymorph in this dataset (meV per atom): 0
ΔE_f (eV per atom): -0.6305
E_tot (eV/atom): -44.291
Size of the total moment (μB/cell): 0.00

Lattice parameters (Å, degrees): 4.578 4.578 7.239 90.00 90.00 120.00
Atoms (fractional coordinates):
Sr: 0.667 0.333 0.231
Au: 0.000 0.000 0.009
Ba: 0.333 0.667 0.759

---

# 20
Here is a crystal of BeCd2HBr relaxed with PBEsol from Alexandria via LeMat-Bulk. Energies are from meta-GGA SCAN.

Computed properties:
Crystal system: tetragonal
Fermi-level density of states (states/eV/atom): 0.45
E_tot (eV/atom): -17.343
Size of the total moment (μB/cell): 0.00

Lattice parameters (Å, degrees): 3.365 5.173 5.173 90.00 90.00 90.00
Atoms (fractional coordinates):
Be: 0.000 0.000 0.000
H: 0.500 0.000 0.000
Br: 0.500 0.500 0.500
Cd: 0.000 0.000 0.500
Cd: 0.000 0.500 0.000